First-principles (PBE-GGA) data for an optimized crystal structure of LaGeIr2I, as listed in the Alexandria database.

* density of states at the Fermi level: 6.6 states/eV/cell
* final energy: -4.6736 eV/atom
* energy relative to the elements, uncorrected: 1.09 eV/atom

Cell lengths 4.9792, 4.9792, 5.7282 Å; angles 90.00, 90.00, 90.00 degrees
With the nearest neighbours (Å) after each atom.
Space group P4/mmm (No. 123)
Unique sites:
La 0.0000 0.0000 0.0000 x1  2 I 2.86
Ge 0.5000 0.5000 0.0000 x1  4 La 3.52, 8 Ir 3.79
Ir 0.0000 0.5000 0.5000 x2  2 I 2.49
I 0.0000 0.0000 0.5000 x1  4 Ir 2.49



First-principles (PBE-GGA) data for an optimized crystal structure of La8GeIr3I4, as listed in the Alexandria database.

* density of states at the Fermi level: 36.2 states/eV/cell
* final energy: -5.8642 eV/atom
* energy relative to the elements, uncorrected: -1.06 eV/atom

Cell lengths 8.6723, 8.6723, 24.4891 Å; angles 90.00, 90.00, 120.00 degrees
With the nearest neighbours (Å) after each atom.
Space group R-3m (No. 166, hexagonal axes)
Unique sites:
La 0.0000 0.0000 0.2298 x6  3 Ir 2.94
La 0.0143 0.5072 0.7713 x18  2 Ir 2.88, 1 Ge 3.02
Ge 0.0000 0.0000 0.5000 x3  6 La 3.02
Ir 0.0000 0.5000 0.5000 x9  6 La 2.88-2.94
I 0.0000 0.0000 0.0000 x3  6 La 3.51
I 0.0000 0.5000 0.0000 x9  6 La 3.56-3.62



First-principles (PBE-GGA) data for an optimized crystal structure of GeIrI2N, as listed in the Alexandria database.

* density of states at the Fermi level: 3.4 states/eV/cell
* final energy: -4.4733 eV/atom
* excess energy over the best structure of this formula in the dataset: 0 meV per atom
* energy relative to the elements, uncorrected: 0.51 eV/atom

Cell lengths 5.6716, 5.6716, 3.7216 Å; angles 90.00, 90.00, 90.00 degrees
With the nearest neighbours (Å) after each atom.
Space group P4/mmm (No. 123)
Unique sites:
Ge 0.0000 0.0000 0.0000 x1  8 I 3.39, 2 Ge 3.72
Ir 0.5000 0.5000 0.5000 x1  2 N 1.86
I 0.0000 0.5000 0.5000 x2  2 Ir 2.84
N 0.5000 0.5000 0.0000 x1  2 Ir 1.86



First-principles (PBE-GGA) data for an optimized crystal structure of GeIrI2N, as listed in the Alexandria database.

* density of states at the Fermi level: 4.2 states/eV/cell
* final energy: -3.6804 eV/atom
* excess energy over the best structure of this formula in the dataset: 793 meV per atom
* energy relative to the elements, uncorrected: 1.30 eV/atom

Cell lengths 5.6314, 5.6314, 3.4343 Å; angles 90.00, 90.00, 90.00 degrees
With the nearest neighbours (Å) after each atom.
Space group P4/mmm (No. 123)
Unique sites:
Ge 0.0000 0.0000 0.0000 x1  2 N 1.72
Ir 0.5000 0.5000 0.5000 x1  8 I 3.30, 2 Ir 3.43
I 0.0000 0.5000 0.0000 x2  2 Ge 2.82
N 0.0000 0.0000 0.5000 x1  2 Ge 1.72



First-principles (PBE-GGA) data for an optimized crystal structure of NbGeIrI2, as listed in the Alexandria database.

* density of states at the Fermi level: 4.7 states/eV/cell
* final energy: -4.2990 eV/atom
* energy relative to the elements, uncorrected: 1.03 eV/atom

Cell lengths 5.4238, 5.4238, 4.9671 Å; angles 90.00, 90.00, 90.00 degrees
With the nearest neighbours (Å) after each atom.
Space group P4/mmm (No. 123)
Unique sites:
Nb 0.0000 0.0000 0.0000 x1  2 Ir 2.48
Ge 0.5000 0.5000 0.0000 x1  8 I 3.68, 4 Nb 3.84
Ir 0.0000 0.0000 0.5000 x1  2 Nb 2.48, 4 I 2.71
I 0.0000 0.5000 0.5000 x2  2 Ir 2.71



First-principles (PBE-GGA) data for an optimized crystal structure of Nd8GeIr3I4, as listed in the Alexandria database.

* density of states at the Fermi level: 32.7 states/eV/cell
* final energy: -5.6619 eV/atom
* energy relative to the elements, uncorrected: -0.94 eV/atom

Cell lengths 8.5582, 8.5582, 24.0966 Å; angles 90.00, 90.00, 120.00 degrees
With the nearest neighbours (Å) after each atom.
Space group R-3m (No. 166, hexagonal axes)
Unique sites:
Nd 0.0000 0.0000 0.2291 x6  3 Ir 2.89
Nd 0.0132 0.5066 0.7714 x18  2 Ir 2.85, 1 Ge 2.97
Ge 0.0000 0.0000 0.5000 x3  6 Nd 2.97
Ir 0.0000 0.5000 0.5000 x9  6 Nd 2.85-2.89
I 0.0000 0.0000 0.0000 x3  6 Nd 3.46
I 0.0000 0.5000 0.0000 x9  6 Nd 3.52-3.57



First-principles (PBE-GGA) data for an optimized crystal structure of Nd4GeIrI2, as listed in the Alexandria database.

* density of states at the Fermi level: 6.2 states/eV/cell
* final energy: -5.4062 eV/atom
* energy relative to the elements, uncorrected: -0.95 eV/atom

Cell lengths 7.6817, 4.2410, 8.2268 Å; angles 90.00, 106.70, 90.00 degrees
With the nearest neighbours (Å) after each atom.
Space group P2/m (No. 10)
Unique sites:
Nd 0.2173 0.0000 0.1864 x2  2 Ir 2.86, 1 Ge 3.00
Nd 0.2545 0.5000 0.8098 x2  1 Ir 2.83, 2 Ge 2.97
Ge 0.5000 0.0000 0.0000 x1  6 Nd 2.97-3.00
Ir 0.0000 0.5000 0.0000 x1  6 Nd 2.83-2.86
I 0.0000 0.0000 0.5000 x1  6 Nd 3.45-3.46
I 0.5000 0.5000 0.5000 x1  6 Nd 3.56-3.58



First-principles (PBE-GGA) data for an optimized crystal structure of Nd8Ge3IrI4, as listed in the Alexandria database.

* density of states at the Fermi level: 38.7 states/eV/cell
* final energy: -5.1688 eV/atom
* energy relative to the elements, uncorrected: -0.98 eV/atom

Cell lengths 8.7261, 8.7261, 23.1386 Å; angles 90.00, 90.00, 120.00 degrees
With the nearest neighbours (Å) after each atom.
Space group R-3m (No. 166, hexagonal axes)
Unique sites:
Nd 0.0000 0.0000 0.2339 x6  3 Ge 2.96
Nd 0.0126 0.5063 0.2312 x18  1 Ir 2.85, 2 Ge 2.97
Ge 0.0000 0.5000 0.5000 x9  6 Nd 2.96-2.97
Ir 0.0000 0.0000 0.5000 x3  6 Nd 2.85
I 0.0000 0.0000 0.0000 x3  6 Nd 3.52
I 0.0000 0.5000 0.0000 x9  6 Nd 3.41-3.42



First-principles (PBE-GGA) data for an optimized crystal structure of GeIrIO2, as listed in the Alexandria database.

* density of states at the Fermi level: 4.3 states/eV/cell
* final energy: -4.8636 eV/atom
* excess energy over the best structure of this formula in the dataset: 63 meV per atom
* energy relative to the elements, uncorrected: 0.13 eV/atom

Cell lengths 3.6709, 3.6709, 8.5430 Å; angles 90.00, 90.00, 90.00 degrees
With the nearest neighbours (Å) after each atom.
Space group P4/mmm (No. 123)
Unique sites:
Ge 0.0000 0.0000 0.0000 x1  4 O 1.84
Ir 0.5000 0.5000 0.5000 x1  4 I 2.60
I 0.0000 0.0000 0.5000 x1  4 Ir 2.60
O 0.0000 0.5000 0.0000 x2  2 Ge 1.84



First-principles (PBE-GGA) data for an optimized crystal structure of GeIrI2O, as listed in the Alexandria database.

* density of states at the Fermi level: 2.9 states/eV/cell
* final energy: -4.1912 eV/atom
* excess energy over the best structure of this formula in the dataset: 0 meV per atom
* energy relative to the elements, uncorrected: 0.12 eV/atom

Cell lengths 5.6615, 5.6615, 3.7561 Å; angles 90.00, 90.00, 90.00 degrees
With the nearest neighbours (Å) after each atom.
Space group P4/mmm (No. 123)
Unique sites:
Ge 0.0000 0.0000 0.0000 x1  8 I 3.40, 2 Ge 3.76
Ir 0.5000 0.5000 0.5000 x1  2 O 1.88
I 0.0000 0.5000 0.5000 x2  2 Ir 2.83
O 0.5000 0.5000 0.0000 x1  2 Ir 1.88



First-principles (PBE-GGA) data for an optimized crystal structure of GeIrI2O, as listed in the Alexandria database.

* density of states at the Fermi level: 3.5 states/eV/cell
* final energy: -3.7105 eV/atom
* excess energy over the best structure of this formula in the dataset: 481 meV per atom
* energy relative to the elements, uncorrected: 0.60 eV/atom

Cell lengths 5.5253, 5.5253, 3.5950 Å; angles 90.00, 90.00, 90.00 degrees
With the nearest neighbours (Å) after each atom.
Space group P4/mmm (No. 123)
Unique sites:
Ge 0.0000 0.0000 0.0000 x1  2 O 1.80
Ir 0.5000 0.5000 0.5000 x1  8 I 3.30, 2 Ir 3.59
I 0.0000 0.5000 0.0000 x2  2 Ge 2.76
O 0.0000 0.0000 0.5000 x1  2 Ge 1.80



First-principles (PBE-GGA) data for an optimized crystal structure of GeIrIO2, as listed in the Alexandria database.

* density of states at the Fermi level: 3.9 states/eV/cell
* final energy: -4.9262 eV/atom
* excess energy over the best structure of this formula in the dataset: 0 meV per atom
* energy relative to the elements, uncorrected: 0.06 eV/atom

Cell lengths 3.8459, 3.8459, 8.0656 Å; angles 90.00, 90.00, 90.00 degrees
With the nearest neighbours (Å) after each atom.
Space group P4/mmm (No. 123)
Unique sites:
Ge 0.0000 0.0000 0.0000 x1  4 I 2.72
Ir 0.5000 0.5000 0.5000 x1  4 O 1.92
I 0.5000 0.5000 0.0000 x1  4 Ge 2.72
O 0.0000 0.5000 0.5000 x2  2 Ir 1.92



First-principles (PBE-GGA) data for an optimized crystal structure of Pm8Ge3IrI4, as listed in the Alexandria database.

* density of states at the Fermi level: 37.5 states/eV/cell
* final energy: -5.1589 eV/atom
* energy relative to the elements, uncorrected: -0.98 eV/atom

Cell lengths 8.6694, 8.6694, 22.9769 Å; angles 90.00, 90.00, 120.00 degrees
With the nearest neighbours (Å) after each atom.
Space group R-3m (No. 166, hexagonal axes)
Unique sites:
Pm 0.0000 0.0000 0.2335 x6  3 Ge 2.94
Pm 0.0130 0.5065 0.2310 x18  1 Ir 2.82, 2 Ge 2.95
Ge 0.0000 0.5000 0.5000 x9  6 Pm 2.94-2.95
Ir 0.0000 0.0000 0.5000 x3  6 Pm 2.82
I 0.0000 0.0000 0.0000 x3  6 Pm 3.51
I 0.0000 0.5000 0.0000 x9  6 Pm 3.39-3.40



First-principles (PBE-GGA) data for an optimized crystal structure of Pr4GeIrI2, as listed in the Alexandria database.

* density of states at the Fermi level: 6.3 states/eV/cell
* final energy: -5.4114 eV/atom
* energy relative to the elements, uncorrected: -0.95 eV/atom

Cell lengths 7.7361, 4.2676, 8.2837 Å; angles 90.00, 106.67, 90.00 degrees
With the nearest neighbours (Å) after each atom.
Space group P2/m (No. 10)
Unique sites:
Pr 0.2176 0.0000 0.1869 x2  2 Ir 2.88, 1 Ge 3.02
Pr 0.2546 0.5000 0.8090 x2  1 Ir 2.86, 2 Ge 2.99
Ge 0.5000 0.0000 0.0000 x1  6 Pr 2.99-3.02
Ir 0.0000 0.5000 0.0000 x1  6 Pr 2.86-2.88
I 0.0000 0.0000 0.5000 x1  6 Pr 3.47-3.48
I 0.5000 0.5000 0.5000 x1  6 Pr 3.58-3.60



First-principles (PBE-GGA) data for an optimized crystal structure of Pr8Ge3IrI4, as listed in the Alexandria database.

* density of states at the Fermi level: 40.2 states/eV/cell
* final energy: -5.1778 eV/atom
* energy relative to the elements, uncorrected: -0.98 eV/atom

Cell lengths 8.7857, 8.7857, 23.3047 Å; angles 90.00, 90.00, 120.00 degrees
With the nearest neighbours (Å) after each atom.
Space group R-3m (No. 166, hexagonal axes)
Unique sites:
Pr 0.0000 0.0000 0.2343 x6  3 Ge 2.99
Pr 0.0124 0.5062 0.2315 x18  1 Ir 2.87, 2 Ge 2.99
Ge 0.0000 0.5000 0.5000 x9  6 Pr 2.99
Ir 0.0000 0.0000 0.5000 x3  6 Pr 2.87
I 0.0000 0.0000 0.0000 x3  6 Pr 3.54
I 0.0000 0.5000 0.0000 x9  6 Pr 3.43-3.44



First-principles (PBE-GGA) data for an optimized crystal structure of GeSbIrI2, as listed in the Alexandria database.

* density of states at the Fermi level: 4.1 states/eV/cell
* final energy: -3.5176 eV/atom
* excess energy over the best structure of this formula in the dataset: 0 meV per atom
* energy relative to the elements, uncorrected: 0.62 eV/atom

Cell lengths 5.5718, 5.5718, 4.9944 Å; angles 90.00, 90.00, 90.00 degrees
With the nearest neighbours (Å) after each atom.
Space group P4/mmm (No. 123)
Unique sites:
Ge 0.0000 0.0000 0.0000 x1  8 I 3.74, 4 Sb 3.94
Sb 0.5000 0.5000 0.0000 x1  2 Ir 2.50
Ir 0.5000 0.5000 0.5000 x1  2 Sb 2.50, 4 I 2.79
I 0.0000 0.5000 0.5000 x2  2 Ir 2.79



First-principles (PBE-GGA) data for an optimized crystal structure of GeSbIrI2, as listed in the Alexandria database.

* density of states at the Fermi level: 7.7 states/eV/cell
* final energy: -2.7602 eV/atom
* excess energy over the best structure of this formula in the dataset: 757 meV per atom
* energy relative to the elements, uncorrected: 1.38 eV/atom

Cell lengths 5.4410, 5.4410, 5.5602 Å; angles 90.00, 90.00, 90.00 degrees
With the nearest neighbours (Å) after each atom.
Space group P4/mmm (No. 123)
Unique sites:
Ge 0.0000 0.0000 0.0000 x1  4 I 2.72, 2 Sb 2.78
Sb 0.0000 0.0000 0.5000 x1  2 Ge 2.78
Ir 0.5000 0.5000 0.5000 x1  4 Sb 3.85, 8 I 3.89
I 0.0000 0.5000 0.0000 x2  2 Ge 2.72



First-principles (PBE-GGA) data for an optimized crystal structure of GeSb2IrI, as listed in the Alexandria database.

* density of states at the Fermi level: 4.5 states/eV/cell
* final energy: -3.2496 eV/atom
* excess energy over the best structure of this formula in the dataset: 775 meV per atom
* energy relative to the elements, uncorrected: 1.41 eV/atom

Cell lengths 5.2613, 5.2613, 5.2902 Å; angles 90.00, 90.00, 90.00 degrees
With the nearest neighbours (Å) after each atom.
Space group P4/mmm (No. 123)
Unique sites:
Ge 0.0000 0.0000 0.0000 x1  4 Sb 2.63, 2 I 2.65
Sb 0.0000 0.5000 0.0000 x2  2 Ge 2.63
Ir 0.5000 0.5000 0.5000 x1  4 I 3.72, 8 Sb 3.73
I 0.0000 0.0000 0.5000 x1  2 Ge 2.65



First-principles (PBE-GGA) data for an optimized crystal structure of GeSb2IrI, as listed in the Alexandria database.

* density of states at the Fermi level: 4.8 states/eV/cell
* final energy: -4.0247 eV/atom
* excess energy over the best structure of this formula in the dataset: 0 meV per atom
* energy relative to the elements, uncorrected: 0.63 eV/atom

Cell lengths 5.1075, 5.1075, 5.6831 Å; angles 90.00, 90.00, 90.00 degrees
With the nearest neighbours (Å) after each atom.
Space group P4/mmm (No. 123)
Unique sites:
Ge 0.0000 0.0000 0.0000 x1  4 I 3.61, 8 Sb 3.82
Sb 0.0000 0.5000 0.5000 x2  2 Ir 2.55
Ir 0.5000 0.5000 0.5000 x1  4 Sb 2.55, 2 I 2.84
I 0.5000 0.5000 0.0000 x1  2 Ir 2.84



First-principles (PBE-GGA) data for an optimized crystal structure of Sm8GeIr3I4, as listed in the Alexandria database.

* density of states at the Fermi level: 31.8 states/eV/cell
* final energy: -5.6417 eV/atom
* energy relative to the elements, uncorrected: -0.94 eV/atom

Cell lengths 8.4676, 8.4676, 23.8198 Å; angles 90.00, 90.00, 120.00 degrees
With the nearest neighbours (Å) after each atom.
Space group R-3m (No. 166, hexagonal axes)
Unique sites:
Sm 0.0000 0.0000 0.2287 x6  3 Ir 2.86
Sm 0.0137 0.5069 0.7718 x18  2 Ir 2.81, 1 Ge 2.94
Ge 0.0000 0.0000 0.5000 x3  6 Sm 2.94
Ir 0.0000 0.5000 0.5000 x9  6 Sm 2.81-2.86
I 0.0000 0.0000 0.0000 x3  6 Sm 3.43
I 0.0000 0.5000 0.0000 x9  6 Sm 3.49-3.54